No. 1
# PmAsPdPt, relaxed, DFT PBE-GGA
# final energy = -5.819 eV per atom
data_PmAsPdPt
_chemical_formula_sum 'Pm4 As4 Pd4 Pt4'
_cell_length_a 6.793
_cell_length_b 6.793
_cell_length_c 6.793
_cell_angle_alpha 90.00
_cell_angle_beta 90.00
_cell_angle_gamma 90.00
_space_group_name_H-M_alt 'F -4 3 m'
_space_group_IT_number 216
_space_group_name_Hall 'F -4 2 3'
loop_
_atom_site_label
_atom_site_type_symbol
_atom_site_fract_x
_atom_site_fract_y
_atom_site_fract_z
_atom_site_occupancy
Pm1 Pm 0.000 0.000 0.000 1
As1 As 0.000 0.000 0.500 1
Pd1 Pd 0.250 0.250 0.250 1
Pt1 Pt 0.250 0.250 0.750 1

No. 2
# PmPuAs2Pd2, relaxed, DFT PBE-GGA
# final energy = -7.462 eV per atom
data_PmPuAs2Pd2
_chemical_formula_sum 'Pm1 Pu1 As2 Pd2'
_cell_length_a 4.3627
_cell_length_b 4.3627
_cell_length_c 7.6845
_cell_angle_alpha 90.00
_cell_angle_beta 90.00
_cell_angle_gamma 120.00
_space_group_name_H-M_alt 'P -3 m 1'
_space_group_IT_number 164
_space_group_name_Hall '-P 3 2"'
loop_
_atom_site_label
_atom_site_type_symbol
_atom_site_fract_x
_atom_site_fract_y
_atom_site_fract_z
_atom_site_occupancy
Pm1 Pm 0.0000 0.0000 0.0000 1
Pu1 Pu 0.0000 0.0000 0.5000 1
As1 As 0.3333 0.6667 0.7393 1
Pd1 Pd 0.3333 0.6667 0.2453 1

No. 3
# PmPuAsPd, relaxed, DFT PBE-GGA
# final energy = -7.972 eV per atom
data_PmPuAsPd
_chemical_formula_sum 'Pm4 Pu4 As4 Pd4'
_cell_length_a 7.184
_cell_length_b 7.184
_cell_length_c 7.184
_cell_angle_alpha 90.00
_cell_angle_beta 90.00
_cell_angle_gamma 90.00
_space_group_name_H-M_alt 'F -4 3 m'
_space_group_IT_number 216
_space_group_name_Hall 'F -4 2 3'
loop_
_atom_site_label
_atom_site_type_symbol
_atom_site_fract_x
_atom_site_fract_y
_atom_site_fract_z
_atom_site_occupancy
Pm1 Pm 0.000 0.000 0.000 1
Pu1 Pu 0.000 0.000 0.500 1
As1 As 0.250 0.250 0.750 1
Pd1 Pd 0.250 0.250 0.250 1

No. 4
# RbPmAs2Pd4, relaxed, DFT PBE-GGA
# final energy = -4.997 eV per atom
data_RbPmAs2Pd4
_chemical_formula_sum 'Rb1 Pm1 As2 Pd4'
_cell_length_a 4.160
_cell_length_b 4.160
_cell_length_c 11.178
_cell_angle_alpha 90.00
_cell_angle_beta 90.00
_cell_angle_gamma 90.00
_space_group_name_H-M_alt 'P 4/m m m'
_space_group_IT_number 123
_space_group_name_Hall '-P 4 2'
loop_
_atom_site_label
_atom_site_type_symbol
_atom_site_fract_x
_atom_site_fract_y
_atom_site_fract_z
_atom_site_occupancy
Rb1 Rb 0.000 0.000 0.000 1
Pm1 Pm 0.000 0.000 0.500 1
As1 As 0.500 0.500 0.192 1
Pd1 Pd 0.000 0.500 0.310 1

No. 5
# Pm2As4Pd3Rh, relaxed, DFT PBE-GGA
# final energy = -5.954 eV per atom
data_Pm2As4Pd3Rh
_chemical_formula_sum 'Pm2 As4 Pd3 Rh1'
_cell_length_a 4.415
_cell_length_b 4.415
_cell_length_c 9.875
_cell_angle_alpha 90.00
_cell_angle_beta 90.00
_cell_angle_gamma 90.00
_space_group_name_H-M_alt 'P -4 m 2'
_space_group_IT_number 115
_space_group_name_Hall 'P -4 -2'
loop_
_atom_site_label
_atom_site_type_symbol
_atom_site_fract_x
_atom_site_fract_y
_atom_site_fract_z
_atom_site_occupancy
Pm1 Pm 0.000 0.500 0.249 1
As1 As 0.000 0.000 0.000 1
As2 As 0.000 0.500 0.627 1
As3 As 0.500 0.500 0.000 1
Pd1 Pd 0.000 0.500 0.875 1
Pd2 Pd 0.500 0.500 0.500 1
Rh1 Rh 0.000 0.000 0.500 1

No. 6
# PmAsPdRh, relaxed, DFT PBE-GGA
# final energy = -6.050 eV per atom
data_PmAsPdRh
_chemical_formula_sum 'Pm4 As4 Pd4 Rh4'
_cell_length_a 6.688
_cell_length_b 6.688
_cell_length_c 6.688
_cell_angle_alpha 90.00
_cell_angle_beta 90.00
_cell_angle_gamma 90.00
_space_group_name_H-M_alt 'F -4 3 m'
_space_group_IT_number 216
_space_group_name_Hall 'F -4 2 3'
loop_
_atom_site_label
_atom_site_type_symbol
_atom_site_fract_x
_atom_site_fract_y
_atom_site_fract_z
_atom_site_occupancy
Pm1 Pm 0.000 0.000 0.000 1
As1 As 0.000 0.000 0.500 1
Pd1 Pd 0.250 0.250 0.750 1
Rh1 Rh 0.250 0.250 0.250 1

No. 7
# Pm2As4PdRh3, relaxed, DFT PBE-GGA
# final energy = -6.443 eV per atom
data_Pm2As4PdRh3
_chemical_formula_sum 'Pm2 As4 Pd1 Rh3'
_cell_length_a 4.338
_cell_length_b 4.338
_cell_length_c 9.913
_cell_angle_alpha 90.00
_cell_angle_beta 90.00
_cell_angle_gamma 90.00
_space_group_name_H-M_alt 'P -4 m 2'
_space_group_IT_number 115
_space_group_name_Hall 'P -4 -2'
loop_
_atom_site_label
_atom_site_type_symbol
_atom_site_fract_x
_atom_site_fract_y
_atom_site_fract_z
_atom_site_occupancy
Pm1 Pm 0.000 0.500 0.247 1
As1 As 0.000 0.000 0.000 1
As2 As 0.000 0.500 0.637 1
As3 As 0.500 0.500 0.000 1
Pd1 Pd 0.000 0.000 0.500 1
Rh1 Rh 0.000 0.500 0.882 1
Rh2 Rh 0.500 0.500 0.500 1

No. 8
# Pm2As3PdRh4, relaxed, DFT PBE-GGA
# final energy = -6.635 eV per atom
data_Pm2As3PdRh4
_chemical_formula_sum 'Pm2 As3 Pd1 Rh4'
_cell_length_a 4.165
_cell_length_b 4.165
_cell_length_c 10.607
_cell_angle_alpha 90.00
_cell_angle_beta 90.00
_cell_angle_gamma 90.00
_space_group_name_H-M_alt 'P -4 m 2'
_space_group_IT_number 115
_space_group_name_Hall 'P -4 -2'
loop_
_atom_site_label
_atom_site_type_symbol
_atom_site_fract_x
_atom_site_fract_y
_atom_site_fract_z
_atom_site_occupancy
Pm1 Pm 0.000 0.500 0.239 1
As1 As 0.000 0.000 0.000 1
As2 As 0.000 0.500 0.631 1
Pd1 Pd 0.500 0.500 0.000 1
Rh1 Rh 0.000 0.000 0.500 1
Rh2 Rh 0.000 0.500 0.853 1
Rh3 Rh 0.500 0.500 0.500 1